Entry 1:
Entry from Alexandria: a relaxed LaSm2Tl3S6 crystal (GGA-PBE).

Summary:
* uncorrected formation energy: -17.85 eV per formula unit

Cell and atoms, written as CIF:
```
data_LaSm2Tl3S6
_chemical_formula_sum 'La1 Sm2 Tl3 S6'
_cell_length_a 7.238
_cell_length_b 7.238
_cell_length_c 7.862
_cell_angle_alpha 98.82
_cell_angle_beta 98.82
_cell_angle_gamma 119.99
_symmetry_space_group_name_H-M 'P 1'
_symmetry_Int_Tables_number 1
loop_
_symmetry_equiv_pos_as_xyz
'x,y,z'
loop_
_atom_site_label
_atom_site_fract_x
_atom_site_fract_y
_atom_site_fract_z
La1 0.000 0.000 0.000
Sm1 0.333 0.667 0.000
Sm2 0.667 0.333 0.000
Tl1 0.167 0.833 0.500
Tl2 0.500 0.500 0.500
Tl3 0.833 0.167 0.500
S1 0.068 0.408 0.203
S2 0.273 0.273 0.798
S3 0.408 0.068 0.203
S4 0.592 0.932 0.797
S5 0.727 0.727 0.202
S6 0.932 0.592 0.797
```

Entry 2:
Entry from Alexandria: a relaxed K3CuRh3O8 crystal (GGA-PBE).

Summary:
* uncorrected formation energy: -14.66 eV per formula unit

Cell and atoms, written as CIF:
```
data_K3CuRh3O8
_chemical_formula_sum 'K3 Cu1 Rh3 O8'
_cell_length_a 6.965
_cell_length_b 6.965
_cell_length_c 6.965
_cell_angle_alpha 53.89
_cell_angle_beta 53.89
_cell_angle_gamma 53.89
_symmetry_space_group_name_H-M 'P 1'
_symmetry_Int_Tables_number 1
loop_
_symmetry_equiv_pos_as_xyz
'x,y,z'
loop_
_atom_site_label
_atom_site_fract_x
_atom_site_fract_y
_atom_site_fract_z
K1 0.000 0.500 0.500
K2 0.500 0.000 0.500
K3 0.500 0.500 0.000
Cu1 0.500 0.500 0.500
Rh1 0.000 0.000 0.500
Rh2 0.000 0.500 0.000
Rh3 0.500 0.000 0.000
O1 0.214 0.726 0.726
O2 0.224 0.224 0.224
O3 0.274 0.274 0.786
O4 0.274 0.786 0.274
O5 0.726 0.214 0.726
O6 0.726 0.726 0.214
O7 0.776 0.776 0.776
O8 0.786 0.274 0.274
```

Entry 3:
Entry from Alexandria: a relaxed Ge2Se2I crystal (GGA-PBE).

Summary:
* ΔE to the lowest computed polymorph: 0.000 eV/atom
* uncorrected formation energy: -0.67 eV per formula unit

Cell and atoms, written as CIF:
```
data_Ge2Se2I
_chemical_formula_sum 'Ge4 Se4 I2'
_cell_length_a 7.744
_cell_length_b 7.744
_cell_length_c 7.744
_cell_angle_alpha 128.88
_cell_angle_beta 128.88
_cell_angle_gamma 75.20
_symmetry_space_group_name_H-M 'P 1'
_symmetry_Int_Tables_number 1
loop_
_symmetry_equiv_pos_as_xyz
'x,y,z'
loop_
_atom_site_label
_atom_site_fract_x
_atom_site_fract_y
_atom_site_fract_z
Ge1 0.276 0.000 0.276
Ge2 0.724 0.000 0.724
Ge3 0.750 0.526 0.776
Ge4 0.750 0.974 0.224
Se1 0.453 0.214 0.239
Se2 0.964 0.225 0.261
Se3 0.964 0.703 0.739
Se4 0.975 0.214 0.761
I1 0.262 0.762 0.500
I2 0.512 0.512 0.000
```

Entry 4:
Entry from Alexandria: a relaxed Be2NiSb crystal (GGA-PBE).

Summary:
* uncorrected formation energy: 0.92 eV per formula unit

Cell and atoms, written as CIF:
```
data_Be2NiSb
_chemical_formula_sum 'Be2 Ni1 Sb1'
_cell_length_a 4.542
_cell_length_b 4.542
_cell_length_c 4.542
_cell_angle_alpha 131.54
_cell_angle_beta 131.54
_cell_angle_gamma 70.96
_symmetry_space_group_name_H-M 'P 1'
_symmetry_Int_Tables_number 1
loop_
_symmetry_equiv_pos_as_xyz
'x,y,z'
loop_
_atom_site_label
_atom_site_fract_x
_atom_site_fract_y
_atom_site_fract_z
Be1 0.250 0.750 0.500
Be2 0.750 0.250 0.500
Ni1 0.000 0.000 0.000
Sb1 0.500 0.500 0.000
```

Entry 5:
Entry from Alexandria: a relaxed PrNdInRu crystal (GGA-PBE).

Summary:
* ΔE to the lowest computed polymorph: 0.000 eV/atom
* formation energy from the elements: -0.286 eV per atom

Cell and atoms, written as CIF:
```
data_PrNdInRu
_chemical_formula_sum 'Pr1 Nd1 In1 Ru1'
_cell_length_a 3.471
_cell_length_b 3.471
_cell_length_c 8.696
_cell_angle_alpha 90.00
_cell_angle_beta 90.00
_cell_angle_gamma 90.00
_symmetry_space_group_name_H-M 'P 1'
_symmetry_Int_Tables_number 1
loop_
_symmetry_equiv_pos_as_xyz
'x,y,z'
loop_
_atom_site_label
_atom_site_fract_x
_atom_site_fract_y
_atom_site_fract_z
Pr1 0.000 0.000 0.000
Nd1 0.000 0.000 0.593
In1 0.500 0.500 0.299
Ru1 0.500 0.500 0.794
```

Entry 6:
Entry from Alexandria: a relaxed Rb2YTmO4 crystal (GGA-PBE).

Summary:
* uncorrected formation energy: -21.67 eV per formula unit

Cell and atoms, written as CIF:
```
data_Rb2YTmO4
_chemical_formula_sum 'Rb2 Y1 Tm1 O4'
_cell_length_a 6.037
_cell_length_b 3.485
_cell_length_c 6.854
_cell_angle_alpha 90.00
_cell_angle_beta 107.06
_cell_angle_gamma 90.00
_symmetry_space_group_name_H-M 'P 1'
_symmetry_Int_Tables_number 1
loop_
_symmetry_equiv_pos_as_xyz
'x,y,z'
loop_
_atom_site_label
_atom_site_fract_x
_atom_site_fract_y
_atom_site_fract_z
Rb1 0.000 0.000 0.000
Rb2 0.500 0.500 0.000
Y1 0.000 0.500 0.500
Tm1 0.500 0.000 0.500
O1 0.229 0.000 0.675
O2 0.280 0.500 0.326
O3 0.720 0.500 0.674
O4 0.771 0.000 0.325
```

Entry 7:
Entry from Alexandria: a relaxed MgSiAs2 crystal (GGA-PBE).

Summary:
* ΔE to the lowest computed polymorph: 0.181 eV/atom
* uncorrected formation energy: -0.54 eV per formula unit

Cell and atoms, written as CIF:
```
data_MgSiAs2
_chemical_formula_sum 'Mg1 Si1 As2'
_cell_length_a 3.572
_cell_length_b 3.555
_cell_length_c 6.643
_cell_angle_alpha 90.00
_cell_angle_beta 90.06
_cell_angle_gamma 90.00
_symmetry_space_group_name_H-M 'P 1'
_symmetry_Int_Tables_number 1
loop_
_symmetry_equiv_pos_as_xyz
'x,y,z'
loop_
_atom_site_label
_atom_site_fract_x
_atom_site_fract_y
_atom_site_fract_z
Mg1 0.000 0.000 0.000
Si1 0.501 0.500 0.490
As1 0.001 0.000 0.596
As2 0.500 0.500 0.136
```

Entry 8:
Entry from Alexandria: a relaxed PmMg3Ni crystal (GGA-PBE).

Summary:
* ΔE to the lowest computed polymorph: 0.126 eV/atom
* formation energy from the elements: -0.052 eV per atom

Cell and atoms, written as CIF:
```
data_PmMg3Ni
_chemical_formula_sum 'Pm1 Mg3 Ni1'
_cell_length_a 4.853
_cell_length_b 4.853
_cell_length_c 4.853
_cell_angle_alpha 90.00
_cell_angle_beta 90.00
_cell_angle_gamma 90.00
_symmetry_space_group_name_H-M 'P 1'
_symmetry_Int_Tables_number 1
loop_
_symmetry_equiv_pos_as_xyz
'x,y,z'
loop_
_atom_site_label
_atom_site_fract_x
_atom_site_fract_y
_atom_site_fract_z
Pm1 0.000 0.000 0.000
Mg1 0.000 0.500 0.500
Mg2 0.500 0.000 0.500
Mg3 0.500 0.500 0.000
Ni1 0.500 0.500 0.500
```

Entry 9:
Entry from Alexandria: a relaxed CrInRh2 crystal (GGA-PBE).

Summary:
* formation energy from the elements: 0.115 eV per atom

Cell and atoms, written as CIF:
```
data_CrInRh2
_chemical_formula_sum 'Cr1 In1 Rh2'
_cell_length_a 4.484
_cell_length_b 4.484
_cell_length_c 4.484
_cell_angle_alpha 60.00
_cell_angle_beta 60.00
_cell_angle_gamma 60.00
_symmetry_space_group_name_H-M 'P 1'
_symmetry_Int_Tables_number 1
loop_
_symmetry_equiv_pos_as_xyz
'x,y,z'
loop_
_atom_site_label
_atom_site_fract_x
_atom_site_fract_y
_atom_site_fract_z
Cr1 0.000 0.000 0.000
In1 0.250 0.250 0.250
Rh1 0.500 0.500 0.500
Rh2 0.750 0.750 0.750
```

Entry 10:
Entry from Alexandria: a relaxed HoHf2Al6 crystal (GGA-PBE).

Summary:
* ΔE to the lowest computed polymorph: 0.000 eV/atom
* formation energy from the elements: -0.374 eV per atom

Cell and atoms, written as CIF:
```
data_HoHf2Al6
_chemical_formula_sum 'Ho1 Hf2 Al6'
_cell_length_a 7.789
_cell_length_b 7.789
_cell_length_c 3.182
_cell_angle_alpha 90.00
_cell_angle_beta 90.00
_cell_angle_gamma 120.00
_symmetry_space_group_name_H-M 'P 1'
_symmetry_Int_Tables_number 1
loop_
_symmetry_equiv_pos_as_xyz
'x,y,z'
loop_
_atom_site_label
_atom_site_fract_x
_atom_site_fract_y
_atom_site_fract_z
Ho1 0.000 0.000 0.000
Hf1 0.333 0.667 0.000
Hf2 0.667 0.333 0.000
Al1 0.000 0.337 0.500
Al2 0.000 0.663 0.500
Al3 0.337 0.000 0.500
Al4 0.337 0.337 0.500
Al5 0.663 0.000 0.500
Al6 0.663 0.663 0.500
```

Entry 11:
Entry from Alexandria: a relaxed PrInAg5 crystal (GGA-PBE).

Summary:
* formation energy from the elements: -0.181 eV per atom

Cell and atoms, written as CIF:
```
data_PrInAg5
_chemical_formula_sum 'Pr4 In4 Ag20'
_cell_length_a 9.150
_cell_length_b 5.673
_cell_length_c 11.479
_cell_angle_alpha 90.00
_cell_angle_beta 90.00
_cell_angle_gamma 90.00
_symmetry_space_group_name_H-M 'P 1'
_symmetry_Int_Tables_number 1
loop_
_symmetry_equiv_pos_as_xyz
'x,y,z'
loop_
_atom_site_label
_atom_site_fract_x
_atom_site_fract_y
_atom_site_fract_z
Pr1 0.242 0.250 0.061
Pr2 0.258 0.750 0.561
Pr3 0.742 0.250 0.439
Pr4 0.758 0.750 0.939
In1 0.145 0.750 0.852
In2 0.355 0.250 0.352
In3 0.645 0.750 0.648
In4 0.855 0.250 0.148
Ag1 0.065 0.750 0.085
Ag2 0.066 0.006 0.305
Ag3 0.066 0.494 0.305
Ag4 0.093 0.250 0.518
Ag5 0.183 0.250 0.757
Ag6 0.317 0.750 0.257
Ag7 0.407 0.750 0.018
Ag8 0.434 0.506 0.805
Ag9 0.434 0.994 0.805
Ag10 0.435 0.250 0.585
Ag11 0.565 0.750 0.415
Ag12 0.566 0.006 0.195
Ag13 0.566 0.494 0.195
Ag14 0.593 0.250 0.982
Ag15 0.683 0.250 0.743
Ag16 0.817 0.750 0.243
Ag17 0.907 0.750 0.482
Ag18 0.934 0.506 0.695
Ag19 0.934 0.994 0.695
Ag20 0.935 0.250 0.915
```